1.
{
  "formula": "Zn2NiMo",
  "functional": "GGA-PBE",
  "state": "optimized geometry",
  "cell": [[1.362, 0.786, 8.665], [-1.362, 0.786, 8.665], [0.000, -1.573, 8.665]],
  "species": ["Zn", "Zn", "Ni", "Mo"],
  "fractional_positions": [[0.244, 0.244, 0.244], [0.756, 0.756, 0.756], [0.500, 0.500, 0.500], [0.000, 0.000, 0.000]],
  "delta_e_f_kj_per_mol_fu": 39,
  "magnetic_moment_mub_per_cell": 0.000,
  "n_ef_per_ev_fu": 4.4,
  "relative_energy_mev_per_atom": 157,
  "spacegroup": "R-3m"
}

2.
{
  "formula": "Zn4NiRu",
  "functional": "GGA-PBE",
  "state": "optimized geometry",
  "cell": [[0.000, 3.441, 3.441], [3.441, 0.000, 3.441], [3.441, 3.441, 0.000]],
  "species": ["Zn", "Zn", "Zn", "Zn", "Ni", "Ru"],
  "fractional_positions": [[0.125, 0.125, 0.125], [0.125, 0.125, 0.625], [0.125, 0.625, 0.125], [0.625, 0.125, 0.125], [0.500, 0.500, 0.500], [0.750, 0.750, 0.750]],
  "delta_e_f_kj_per_mol_fu": 71,
  "magnetic_moment_mub_per_cell": 0.000,
  "n_ef_per_ev_fu": 5.1,
  "spacegroup": "F-43m"
}

3.
{
  "formula": "Ag7GeTe6",
  "functional": "GGA-PBE",
  "state": "optimized geometry",
  "cell": [[3.796, 2.192, 7.463], [-3.796, 2.192, 7.463], [0.000, -4.384, 7.463]],
  "species": ["Ag", "Ag", "Ag", "Ag", "Ag", "Ag", "Ag", "Ge", "Te", "Te", "Te", "Te", "Te", "Te"],
  "fractional_positions": [[0.000, 0.000, 0.000], [0.139, 0.459, 0.797], [0.195, 0.870, 0.532], [0.459, 0.797, 0.139], [0.532, 0.195, 0.870], [0.797, 0.139, 0.459], [0.870, 0.532, 0.195], [0.332, 0.332, 0.332], [0.074, 0.731, 0.406], [0.256, 0.595, 0.930], [0.406, 0.074, 0.731], [0.595, 0.930, 0.256], [0.731, 0.406, 0.074], [0.930, 0.256, 0.595]],
  "magnetic_moment_mub_per_cell": 0.000,
  "n_ef_per_ev_fu": 10.4,
  "spacegroup": "R3",
  "raw_formation_energy_mev_per_atom": 0
}